# PBE SmDy3Te, optimized geometry
# - ΔE_f (raw): -0.3810 eV per atom
# - Density of states at the Fermi level: 1.35 states/eV per atom
# - Spin magnetization: 0.000 μB per atom
data_SmDy3Te
_cell_length_a 8.353
_cell_length_b 8.883
_cell_length_c 9.869
_cell_angle_alpha 90.00
_cell_angle_beta 122.91
_cell_angle_gamma 90.00
_symmetry_space_group_name_H-M 'P 1 21/c 1'
_symmetry_Int_Tables_number 14
loop_
_symmetry_equiv_pos_as_xyz
'x,y,z'
'-x,-y,-z'
'-x,y+1/2,-z+1/2'
'x,-y+1/2,z+1/2'
loop_
_atom_site_label
_atom_site_fract_x
_atom_site_fract_y
_atom_site_fract_z
Sm1 0.172 0.068 0.440
Dy1 0.098 0.676 0.522
Dy2 0.270 0.059 0.841
Dy3 0.418 0.116 0.238
Te1 0.382 0.711 0.900